Entry w
Here is a relaxed Mg2CdGaH crystal from the Alexandria database. Energies are from PBE.

Cell lengths 4.386, 4.386, 4.373 Å; angles 90.00, 90.00, 90.00 degrees
Space group P4/mmm (No. 123)
Inequivalent atoms, fractional coordinates:
Mg 0.000 0.500 0.000 (multiplicity 2)
Cd 0.000 0.000 0.500 (multiplicity 1)
Ga 0.500 0.500 0.500 (multiplicity 1)
H 0.500 0.500 0.000 (multiplicity 1)

Calculated values
The value obtained for the density of states at the Fermi level is 1.01 states/eV/f.u. Its total magnetic moment is 0.0 μB per cell.

Entry x
Here is a relaxed Mg2CdGaH crystal from the Alexandria database. Energies are from PBE.

Cell lengths 4.362, 4.362, 4.429 Å; angles 90.00, 90.00, 90.00 degrees
Space group P4/mmm (No. 123)
Inequivalent atoms, fractional coordinates:
Mg 0.000 0.500 0.000 (multiplicity 2)
Cd 0.000 0.000 0.500 (multiplicity 1)
Ga 0.500 0.500 0.500 (multiplicity 1)
H 0.000 0.000 0.000 (multiplicity 1)

Calculated values
The value obtained for the density of states at the Fermi level is 1.40 states/eV/f.u. Its total magnetic moment is 0.0 μB per cell.

List of relative energies, unit kJ/mol of atoms: entry w 0.0; entry x 2.2